# 1
! Ba8LiPd4 PBE relaxed; values from VASP
&SYSTEM
  ibrav = 0, nat = 13, ntyp = 3
/
ATOMIC_SPECIES
Ba 137.33 Ba.upf
Li 6.94 Li.upf
Pd 106.42 Pd.upf
CELL_PARAMETERS angstrom
11.0819 -2.3305 0.0000
11.0819 2.3305 0.0000
-9.9532 0.0000 11.4335
ATOMIC_POSITIONS crystal
Ba 0.0000 0.0000 0.0000
Ba 0.0281 0.0281 0.7418
Ba 0.0702 0.0702 0.4808
Ba 0.3261 0.3261 0.6654
Ba 0.4099 0.4099 0.1554
Ba 0.6658 0.6658 0.3400
Ba 0.7080 0.7080 0.0791
Ba 0.7361 0.7361 0.8208
Li 0.3684 0.3684 0.4108
Pd 0.0353 0.0353 0.2402
Pd 0.2196 0.2196 0.9465
Pd 0.5165 0.5165 0.8743
Pd 0.7007 0.7007 0.5805
! ΔE_f	-0.353	eV per atom
! raw total energy	-42.653	eV for the cell shown
! density	4.31	g cm⁻³
! symmetry	No. 8

=====

# 2
! Ba2LiPd2 PBE relaxed; values from VASP
&SYSTEM
  ibrav = 0, nat = 10, ntyp = 3
/
ATOMIC_SPECIES
Ba 137.33 Ba.upf
Li 6.94 Li.upf
Pd 106.42 Pd.upf
CELL_PARAMETERS angstrom
5.2897 -3.1406 0.0000
5.2897 3.1406 0.0000
-1.9176 0.0000 8.3719
ATOMIC_POSITIONS crystal
Ba 0.0185 0.2849 0.1513
Ba 0.2849 0.0185 0.6513
Ba 0.7151 0.9815 0.3487
Ba 0.9815 0.7151 0.8487
Li 0.4026 0.5974 0.2500
Li 0.5974 0.4026 0.7500
Pd 0.2421 0.5023 0.4950
Pd 0.4977 0.7579 0.0050
Pd 0.5023 0.2421 0.9950
Pd 0.7579 0.4977 0.5050
! ΔE_f	-0.439	eV per atom
! raw total energy	-36.678	eV for the cell shown
! density	5.90	g cm⁻³
! symmetry	No. 15

=====

# 3
! Ba2Li5Pd4 PBE relaxed; values from VASP
&SYSTEM
  ibrav = 0, nat = 11, ntyp = 3
/
ATOMIC_SPECIES
Ba 137.33 Ba.upf
Li 6.94 Li.upf
Pd 106.42 Pd.upf
CELL_PARAMETERS angstrom
6.6401 -2.8811 0.0000
6.6401 2.8811 0.0000
-5.0714 0.0000 6.6827
ATOMIC_POSITIONS crystal
Ba 0.2237 0.2237 0.2863
Ba 0.7763 0.7763 0.7137
Li 0.1814 0.7050 0.2548
Li 0.2950 0.8186 0.7452
Li 0.5000 0.5000 0.0000
Li 0.7050 0.1814 0.2548
Li 0.8186 0.2950 0.7452
Pd 0.1231 0.1231 0.5546
Pd 0.2829 0.2829 0.9616
Pd 0.7171 0.7171 0.0384
Pd 0.8769 0.8769 0.4454
! ΔE_f	-0.324	eV per atom
! raw total energy	-37.754	eV for the cell shown
! density	4.77	g cm⁻³
! symmetry	No. 12

=====

# 4
! Ba2LiPd PBE relaxed; values from VASP
&SYSTEM
  ibrav = 0, nat = 4, ntyp = 3
/
ATOMIC_SPECIES
Ba 137.33 Ba.upf
Li 6.94 Li.upf
Pd 106.42 Pd.upf
CELL_PARAMETERS angstrom
4.0314 0.0000 0.0000
0.0000 4.0314 0.0000
0.0000 0.0000 8.6618
ATOMIC_POSITIONS crystal
Ba 0.0000 0.0000 0.2134
Ba 0.0000 0.0000 0.7866
Li 0.5000 0.5000 0.5000
Pd 0.5000 0.5000 0.0000
! ΔE_f	-0.240	eV per atom
! raw total energy	-11.913	eV for the cell shown
! density	4.58	g cm⁻³
! symmetry	No. 123

=====

# 5
! BaLi12Pd6 PBE relaxed; values from VASP
&SYSTEM
  ibrav = 0, nat = 19, ntyp = 3
/
ATOMIC_SPECIES
Ba 137.33 Ba.upf
Li 6.94 Li.upf
Pd 106.42 Pd.upf
CELL_PARAMETERS angstrom
5.6236 3.2468 3.1407
-5.6236 3.2468 3.1407
0.0000 -6.4936 3.1407
ATOMIC_POSITIONS crystal
Ba 0.0000 0.0000 0.0000
Li 0.1178 0.5000 0.8822
Li 0.1178 0.8822 0.5000
Li 0.1727 0.4530 0.4530
Li 0.4530 0.1727 0.4530
Li 0.4530 0.4530 0.1727
Li 0.5000 0.1178 0.8822
Li 0.5000 0.8822 0.1178
Li 0.5470 0.5470 0.8273
Li 0.5470 0.8273 0.5470
Li 0.8273 0.5470 0.5470
Li 0.8822 0.1178 0.5000
Li 0.8822 0.5000 0.1178
Pd 0.2432 0.2432 0.7030
Pd 0.2432 0.7030 0.2432
Pd 0.2970 0.7568 0.7568
Pd 0.7030 0.2432 0.2432
Pd 0.7568 0.2970 0.7568
Pd 0.7568 0.7568 0.2970
! ΔE_f	-0.256	eV per atom
! raw total energy	-60.913	eV for the cell shown
! density	4.15	g cm⁻³
! symmetry	No. 166

=====

# 6
! Ba3Li2Pd PBE relaxed; values from VASP
&SYSTEM
  ibrav = 0, nat = 24, ntyp = 3
/
ATOMIC_SPECIES
Ba 137.33 Ba.upf
Li 6.94 Li.upf
Pd 106.42 Pd.upf
CELL_PARAMETERS angstrom
14.1609 0.0000 0.0000
0.0000 4.7053 0.0000
0.0000 0.0000 14.0904
ATOMIC_POSITIONS crystal
Ba 0.0519 0.2500 0.1326
Ba 0.1111 0.7500 0.5507
Ba 0.2311 0.2500 0.7907
Ba 0.2689 0.7500 0.2907
Ba 0.3889 0.2500 0.0507
Ba 0.4481 0.7500 0.6326
Ba 0.5519 0.2500 0.3674
Ba 0.6111 0.7500 0.9493
Ba 0.7311 0.2500 0.7093
Ba 0.7689 0.7500 0.2093
Ba 0.8889 0.2500 0.4493
Ba 0.9481 0.7500 0.8674
Li 0.0331 0.7500 0.3227
Li 0.2148 0.7500 0.9833
Li 0.2852 0.2500 0.4833
Li 0.4669 0.2500 0.8227
Li 0.5331 0.7500 0.1773
Li 0.7148 0.7500 0.5167
Li 0.7852 0.2500 0.0167
Li 0.9669 0.2500 0.6773
Pd 0.1195 0.2500 0.3724
Pd 0.3805 0.7500 0.8724
Pd 0.6195 0.2500 0.1276
Pd 0.8805 0.7500 0.6276
! ΔE_f	-0.195	eV per atom
! raw total energy	-63.834	eV for the cell shown
! density	3.77	g cm⁻³
! symmetry	No. 62

=====

# 7
! Ba2LiPd PBE relaxed; values from VASP
&SYSTEM
  ibrav = 0, nat = 4, ntyp = 3
/
ATOMIC_SPECIES
Ba 137.33 Ba.upf
Li 6.94 Li.upf
Pd 106.42 Pd.upf
CELL_PARAMETERS angstrom
2.2248 1.2845 11.1249
-2.2248 1.2845 11.1249
0.0000 -2.5690 11.1249
ATOMIC_POSITIONS crystal
Ba 0.1123 0.1123 0.1123
Ba 0.8877 0.8877 0.8877
Li 0.0000 0.0000 0.0000
Pd 0.5000 0.5000 0.5000
! ΔE_f	-0.114	eV per atom
! raw total energy	-11.406	eV for the cell shown
! density	3.38	g cm⁻³
! symmetry	No. 166

=====

# 8
! Ba3LiPd PBE relaxed; values from VASP
&SYSTEM
  ibrav = 0, nat = 10, ntyp = 3
/
ATOMIC_SPECIES
Ba 137.33 Ba.upf
Li 6.94 Li.upf
Pd 106.42 Pd.upf
CELL_PARAMETERS angstrom
4.3957 0.0000 0.0000
0.0000 9.6386 0.0000
-0.0733 0.0000 10.0356
ATOMIC_POSITIONS crystal
Ba 0.2422 0.2500 0.4852
Ba 0.2536 0.5447 0.1678
Ba 0.2536 0.9553 0.1678
Ba 0.7464 0.0447 0.8322
Ba 0.7464 0.4553 0.8322
Ba 0.7578 0.7500 0.5148
Li 0.2494 0.7500 0.8554
Li 0.7506 0.2500 0.1446
Pd 0.2486 0.2500 0.9938
Pd 0.7514 0.7500 0.0062
! ΔE_f	-0.210	eV per atom
! raw total energy	-27.853	eV for the cell shown
! density	4.10	g cm⁻³
! symmetry	No. 11

=====

# 9
! BaLiPd3 PBE relaxed; values from VASP
&SYSTEM
  ibrav = 0, nat = 5, ntyp = 3
/
ATOMIC_SPECIES
Ba 137.33 Ba.upf
Li 6.94 Li.upf
Pd 106.42 Pd.upf
CELL_PARAMETERS angstrom
4.6479 0.0000 0.0000
0.0000 4.6479 0.0000
0.0000 0.0000 4.6479
ATOMIC_POSITIONS crystal
Ba 0.0000 0.0000 0.0000
Li 0.5000 0.5000 0.5000
Pd 0.0000 0.5000 0.5000
Pd 0.5000 0.0000 0.5000
Pd 0.5000 0.5000 0.0000
! ΔE_f	-0.250	eV per atom
! raw total energy	-20.665	eV for the cell shown
! density	7.67	g cm⁻³
! symmetry	No. 221

=====

# 10
! BaLi4Pd PBE relaxed; values from VASP
&SYSTEM
  ibrav = 0, nat = 6, ntyp = 3
/
ATOMIC_SPECIES
Ba 137.33 Ba.upf
Li 6.94 Li.upf
Pd 106.42 Pd.upf
CELL_PARAMETERS angstrom
4.9417 0.0000 0.0000
0.0000 4.9417 0.0000
-0.0071 0.0000 7.4543
ATOMIC_POSITIONS crystal
Ba 0.0000 0.0000 0.0000
Li 0.0000 0.5000 0.5000
Li 0.5000 0.0000 0.5000
Li 0.5002 0.5000 0.1859
Li 0.4998 0.5000 0.8141
Pd 0.5000 0.5000 0.5000
! ΔE_f	0.001	eV per atom
! raw total energy	-14.765	eV for the cell shown
! density	2.48	g cm⁻³
! symmetry	No. 10

=====

What did the eighth record say?
! Ba3LiPd PBE relaxed; values from VASP
&SYSTEM
  ibrav = 0, nat = 10, ntyp = 3
/
ATOMIC_SPECIES
Ba 137.33 Ba.upf
Li 6.94 Li.upf
Pd 106.42 Pd.upf
CELL_PARAMETERS angstrom
4.3957 0.0000 0.0000
0.0000 9.6386 0.0000
-0.0733 0.0000 10.0356
ATOMIC_POSITIONS crystal
Ba 0.2422 0.2500 0.4852
Ba 0.2536 0.5447 0.1678
Ba 0.2536 0.9553 0.1678
Ba 0.7464 0.0447 0.8322
Ba 0.7464 0.4553 0.8322
Ba 0.7578 0.7500 0.5148
Li 0.2494 0.7500 0.8554
Li 0.7506 0.2500 0.1446
Pd 0.2486 0.2500 0.9938
Pd 0.7514 0.7500 0.0062
! ΔE_f	-0.210	eV per atom
! raw total energy	-27.853	eV for the cell shown
! density	4.10	g cm⁻³
! symmetry	No. 11

=====

> The highest ΔE_f belongs to which entry?

BaLi4Pd